(1)
KFeTc2 | PBE | optimized geometry

Properties
- excess energy over the best structure of this formula in the dataset (eV per atom) = 0.034
- formation enthalpy at 0 K (eV per atom) = 0.782
- space group = Cmmm, No. 65

Structure (CIF):
```
data_KFeTc2
_cell_length_a 2.6607
_cell_length_b 2.6607
_cell_length_c 10.0657
_cell_angle_alpha 90.00
_cell_angle_beta 90.00
_cell_angle_gamma 71.49
_symmetry_space_group_name_H-M 'P 1'
_symmetry_Int_Tables_number 1
loop_
_symmetry_equiv_pos_as_xyz
'x,y,z'
loop_
_atom_site_label
_atom_site_type_symbol
_atom_site_fract_x
_atom_site_fract_y
_atom_site_fract_z
Fe1 Fe 0.5000 0.5000 0.2500
K1 K 0.5000 0.5000 0.7500
Tc1 Tc 0.0000 0.0000 0.0490
Tc2 Tc 0.0000 0.0000 0.4510
```

(2)
KFe2Tc | PBE | optimized geometry

Properties
- excess energy over the best structure of this formula in the dataset (eV per atom) = 0.152
- formation enthalpy at 0 K (eV per atom) = 0.850
- space group = Cm, No. 8

Structure (CIF):
```
data_KFe2Tc
_cell_length_a 4.3329
_cell_length_b 4.3329
_cell_length_c 7.2532
_cell_angle_alpha 86.01
_cell_angle_beta 86.01
_cell_angle_gamma 36.77
_symmetry_space_group_name_H-M 'P 1'
_symmetry_Int_Tables_number 1
loop_
_symmetry_equiv_pos_as_xyz
'x,y,z'
loop_
_atom_site_label
_atom_site_type_symbol
_atom_site_fract_x
_atom_site_fract_y
_atom_site_fract_z
Fe1 Fe 0.0044 0.0044 0.0018
Fe2 Fe 0.7262 0.7262 0.8587
K1 K 0.4988 0.4988 0.5050
Tc1 Tc 0.2706 0.2706 0.1345
```

(3)
KFeTc2 | PBE | optimized geometry

Properties
- excess energy over the best structure of this formula in the dataset (eV per atom) = 0.910
- formation enthalpy at 0 K (eV per atom) = 1.658
- space group = Fm-3m, No. 225

Structure (CIF):
```
data_KFeTc2
_cell_length_a 4.4156
_cell_length_b 4.4156
_cell_length_c 4.4156
_cell_angle_alpha 60.00
_cell_angle_beta 60.00
_cell_angle_gamma 60.00
_symmetry_space_group_name_H-M 'P 1'
_symmetry_Int_Tables_number 1
loop_
_symmetry_equiv_pos_as_xyz
'x,y,z'
loop_
_atom_site_label
_atom_site_type_symbol
_atom_site_fract_x
_atom_site_fract_y
_atom_site_fract_z
K1 K 0.0000 0.0000 0.0000
Tc1 Tc 0.2500 0.2500 0.2500
Tc2 Tc 0.7500 0.7500 0.7500
Fe1 Fe 0.5000 0.5000 0.5000
```

| no. | DFT total energy (eV/cell) |
| --- | --- |
| 1 | -27.16 |
| 2 | -24.99 |
| 3 | -23.66 |